No. 1
# MnCuRu3 (PBE-GGA, relaxed)
data_MnCuRu3
_symmetry_space_group_name_H-M 'P 1'
_symmetry_Int_Tables_number 1
_cell_length_a 4.3794
_cell_length_b 4.3794
_cell_length_c 4.3794
_cell_angle_alpha 90.00
_cell_angle_beta 90.00
_cell_angle_gamma 90.00
loop_
_symmetry_equiv_pos_as_xyz
'x,y,z'
loop_
_atom_site_label
_atom_site_type_symbol
_atom_site_fract_x
_atom_site_fract_y
_atom_site_fract_z
_atom_site_occupancy
Ru1 Ru 0.0000 0.5000 0.0000 1
Ru2 Ru 0.0000 0.0000 0.5000 1
Ru3 Ru 0.5000 0.0000 0.0000 1
Mn1 Mn 0.0000 0.0000 0.0000 1
Cu1 Cu 0.5000 0.5000 0.5000 1
# - Magnetization: 1.2 Bohr magnetons per cell
# - SG: Pm-3m (221)
# - Offset from the most stable computed form: 0.0 meV per atom
# - Calculated formation energy: 1.377 eV/atom
# - Final energy: -6.842 eV/atom

No. 2
# SrEr2Al (PBE-GGA, relaxed)
data_SrEr2Al
_symmetry_space_group_name_H-M 'P 1'
_symmetry_Int_Tables_number 1
_cell_length_a 3.6109
_cell_length_b 3.6109
_cell_length_c 11.6838
_cell_angle_alpha 81.11
_cell_angle_beta 81.11
_cell_angle_gamma 60.00
loop_
_symmetry_equiv_pos_as_xyz
'x,y,z'
loop_
_atom_site_label
_atom_site_type_symbol
_atom_site_fract_x
_atom_site_fract_y
_atom_site_fract_z
_atom_site_occupancy
Sr1 Sr 0.0000 0.0000 0.0000 1
Al1 Al 0.5000 0.5000 0.5000 1
Er1 Er 0.1037 0.1037 0.6889 1
Er2 Er 0.8963 0.8963 0.3111 1
# - Magnetization: 0.0 Bohr magnetons per cell
# - SG: R-3m (166)
# - Offset from the most stable computed form: 230.1 meV per atom
# - Calculated formation energy: 0.141 eV/atom
# - Final energy: -3.496 eV/atom